Here is a geometry-optimized LuPuSnRu structure from the Alexandria database. Energies are from PBE-GGA.

a b c (Å): 7.1079 7.1079 7.1079
angles (deg): 90.00 90.00 90.00
Last column: nearest neighbours and their distance in Å.
Space group F-43m (No. 216)
Unique sites:
Lu 0.0000 0.0000 0.0000  4 Sn 3.08, 4 Ru 3.08
Pu 0.0000 0.0000 0.5000  4 Ru 3.08, 4 Sn 3.08
Sn 0.2500 0.2500 0.7500  4 Pu 3.08, 4 Lu 3.08
Ru 0.2500 0.2500 0.2500  4 Pu 3.08, 4 Lu 3.08

Summary:
Calculated formation energy ... -0.216 eV/atom

***

Here is a geometry-optimized CeTiTcGe2 structure from the Alexandria database. Energies are from PBE-GGA.

a b c (Å): 4.0254 4.0254 11.6039
angles (deg): 90.00 90.00 90.00
Last column: nearest neighbours and their distance in Å.
Space group I-4m2 (No. 119)
Unique sites:
Ce 0.0000 0.0000 0.0000  8 Ge 3.12
Ti 0.0000 0.5000 0.7500  4 Ge 2.58, 4 Tc 2.85
Tc 0.0000 0.5000 0.2500  4 Ge 2.58, 4 Ti 2.85
Ge 0.0000 0.0000 0.3898  1 Ge 2.56, 2 Tc 2.58, 2 Ti 2.58

Summary:
Calculated formation energy ... -0.618 eV/atom

***

Here is a geometry-optimized CaGeBi structure from the Alexandria database. Energies are from PBE-GGA.

a b c (Å): 5.3584 6.2947 6.3429
angles (deg): 71.19 65.11 64.91
Last column: nearest neighbours and their distance in Å.
Space group P1 (No. 1)
Unique sites:
Ca 0.0000 0.0000 0.0000  4 Ge 3.17-3.18, 2 Bi 3.53
Ca 0.4998 0.4998 0.5001  4 Ge 3.15
Ge 0.4991 0.9999 0.4999  2 Ge 2.68
Ge 0.9990 0.9998 0.5003  2 Ge 2.68
Bi 0.2496 0.3706 0.1298  2 Ge 3.03-3.04, 2 Bi 3.29
Bi 0.7500 0.6293 0.8704  2 Ge 3.03-3.04, 2 Bi 3.29

Summary:
Calculated formation energy ... -0.356 eV/atom
Energy relative to the lowest polymorph listed for this composition ... 79.6 meV/atom

***

Here is a geometry-optimized NaTiCl6 structure from the Alexandria database. Energies are from PBE-GGA.

a b c (Å): 10.3334 10.3334 10.3334
angles (deg): 90.00 90.00 90.00
Last column: nearest neighbours and their distance in Å.
Space group Fm-3m (No. 225)
Unique sites:
Na 0.0000 0.0000 0.0000  6 Cl 2.83
Ti 0.0000 0.0000 0.5000  6 Cl 2.34
Cl 0.0000 0.0000 0.2738  1 Ti 2.34

Summary:
Energy relative to the elements, uncorrected ... -1268 meV per atom

***

Here is a geometry-optimized Sc2VGe4 structure from the Alexandria database. Energies are from PBE-GGA.

a b c (Å): 4.6783 4.6783 13.4824
angles (deg): 90.00 90.00 90.00
Last column: nearest neighbours and their distance in Å.
Space group I4/mmm (No. 139)
Unique sites:
Sc 0.0000 0.0000 0.1208  5 Ge 2.65-2.85
V 0.0000 0.0000 0.5000  6 Ge 2.34-2.46
Ge 0.0000 0.0000 0.3173  1 V 2.46, 1 Sc 2.65
Ge 0.0000 0.5000 0.0000  2 V 2.34

Summary:
Calculated formation energy ... -0.154 eV/atom

***

Here is a geometry-optimized H2Pd2Pt structure from the Alexandria database. Energies are from PBE-GGA.

a b c (Å): 6.2414 6.2414 2.9204
angles (deg): 90.00 90.00 90.00
Last column: nearest neighbours and their distance in Å.
Space group P4/mbm (No. 127)
Unique sites:
H 0.2265 0.2735 0.0000  2 Pd 1.76
Pd 0.1625 0.6625 0.5000  2 H 1.76
Pt 0.0000 0.0000 0.0000  4 H 2.22

Summary:
Energy relative to the lowest polymorph listed for this composition ... 164.0 meV/atom

***

Here is a geometry-optimized DyHoPu2 structure from the Alexandria database. Energies are from PBE-GGA.

a b c (Å): 7.7430 7.7430 7.7430
angles (deg): 90.00 90.00 90.00
Last column: nearest neighbours and their distance in Å.
Space group F-43m (No. 216)
Unique sites:
Dy 0.0000 0.0000 0.0000  4 Ho 3.35, 4 Pu 3.35
Ho 0.2500 0.2500 0.2500  4 Dy 3.35, 4 Pu 3.35
Pu 0.0000 0.0000 0.5000  4 Ho 3.35, 4 Pu 3.35
Pu 0.2500 0.2500 0.7500  4 Dy 3.35, 4 Pu 3.35

Summary:
Calculated formation energy ... 0.210 eV/atom
Energy relative to the lowest polymorph listed for this composition ... 38.5 meV/atom

***

Here is a geometry-optimized KSBr6 structure from the Alexandria database. Energies are from PBE-GGA.

a b c (Å): 5.9216 7.4143 7.8191
angles (deg): 113.70 109.87 90.86
Last column: nearest neighbours and their distance in Å.
Space group P-1 (No. 2)
Unique sites:
K 0.0000 0.0000 0.0000  8 Br 3.42-3.73
S 0.5000 0.5000 0.0000  6 Br 2.51-2.59
Br 0.1733 0.2213 0.7005  1 S 2.53, 1 Br 2.83
Br 0.2453 0.6856 0.2073  1 S 2.59, 1 Br 2.83
Br 0.4145 0.7130 0.8123  1 S 2.51

Summary:
Energy relative to the elements, uncorrected ... -305 meV per atom

***

Number 1: magnetization 4.9 μB per formula unit. Number 2: magnetization 0.5 μB per formula unit. Number 3: magnetization 0.0 μB per formula unit. Number 4: magnetization 1.0 μB per formula unit. Number 5: magnetization 0.0 μB per formula unit. Number 6: magnetization 0.0 μB per formula unit. Number 7: magnetization 12.6 μB per formula unit. Number 8: magnetization 0.0 μB per formula unit.